1.
This record from Alexandria via LeMat-Bulk describes a relaxed LiSn4Ru crystal. The functional is PBEsol.

Properties
calculated formation energy = -0.287 eV per atom

The structure in CIF format:
```
data_LiSn4Ru
_cell_length_a 6.6105
_cell_length_b 6.6105
_cell_length_c 11.1349
_cell_angle_alpha 90.00
_cell_angle_beta 90.00
_cell_angle_gamma 90.00
_symmetry_space_group_name_H-M 'I 4/m c m'
_symmetry_Int_Tables_number 140
_symmetry_space_group_name_Hall '-I 4 2c'
loop_
_atom_site_label
_atom_site_fract_x
_atom_site_fract_y
_atom_site_fract_z
Li1 0.0000 0.0000 0.0000
Sn1 0.1597 0.3403 0.1373
Ru1 0.0000 0.0000 0.2500
```

---

2.
This record from Alexandria via LeMat-Bulk describes a relaxed ScSbIr2 crystal. The functional is PBEsol.

Properties
energy relative to the elements, uncorrected = -0.36 eV per atom

The structure in CIF format:
```
data_ScSbIr2
_cell_length_a 3.5950
_cell_length_b 3.5950
_cell_length_c 5.3900
_cell_angle_alpha 90.00
_cell_angle_beta 90.00
_cell_angle_gamma 90.00
_symmetry_space_group_name_H-M 'P 4 m m'
_symmetry_Int_Tables_number 99
loop_
_symmetry_equiv_pos_as_xyz
'x,y,z'
'-y,x,z'
'-x,-y,z'
'y,-x,z'
'-x,y,z'
'y,x,z'
'x,-y,z'
'-y,-x,z'
loop_
_atom_site_label
_atom_site_fract_x
_atom_site_fract_y
_atom_site_fract_z
Sc1 0.0000 0.0000 0.0000
Sb1 0.5000 0.5000 0.6701
Ir1 0.0000 0.0000 0.5002
Ir2 0.5000 0.5000 0.1727
```

---

3.
This record from Alexandria via LeMat-Bulk describes a relaxed NiHgPb crystal. The functional is PBEsol.

Properties
calculated formation energy = 0.181 eV per atom

The structure in CIF format:
```
data_NiHgPb
_cell_length_a 3.1912
_cell_length_b 3.1912
_cell_length_c 11.7152
_cell_angle_alpha 90.00
_cell_angle_beta 90.00
_cell_angle_gamma 90.00
_symmetry_space_group_name_H-M 'I 4 m m'
_symmetry_Int_Tables_number 107
_symmetry_space_group_name_Hall 'I 4 -2'
loop_
_atom_site_label
_atom_site_fract_x
_atom_site_fract_y
_atom_site_fract_z
Ni1 0.0000 0.0000 0.0000
Hg1 0.0000 0.0000 0.6279
Pb1 0.0000 0.0000 0.3551
```

---

4.
This record from Alexandria via LeMat-Bulk describes a relaxed K2CdAg crystal. The functional is PBEsol.

Properties
excess energy over the best structure of this formula in the dataset = 0.026 eV/atom
calculated formation energy = 0.076 eV per atom

The structure in CIF format:
```
data_K2CdAg
_cell_length_a 13.1940
_cell_length_b 3.9817
_cell_length_c 5.7122
_cell_angle_alpha 90.00
_cell_angle_beta 115.33
_cell_angle_gamma 90.00
_symmetry_space_group_name_H-M 'C 1 m 1'
_symmetry_Int_Tables_number 8
loop_
_symmetry_equiv_pos_as_xyz
'x,y,z'
'x,-y,z'
'x+1/2,y+1/2,z'
'x+1/2,-y+1/2,z'
loop_
_atom_site_label
_atom_site_fract_x
_atom_site_fract_y
_atom_site_fract_z
K1 0.0000 0.0000 0.0000
K2 0.1982 0.0000 0.6953
Cd1 0.2795 0.5000 0.2761
Ag1 0.4408 0.0000 0.4425
```

---

5.
This record from Alexandria via LeMat-Bulk describes a relaxed BiAsSe2Cl crystal. The functional is PBEsol.

Properties
energy relative to the elements, uncorrected = 0.83 eV per atom

The structure in CIF format:
```
data_BiAsSe2Cl
_cell_length_a 5.3565
_cell_length_b 5.3565
_cell_length_c 5.6179
_cell_angle_alpha 90.00
_cell_angle_beta 90.00
_cell_angle_gamma 90.00
_symmetry_space_group_name_H-M 'P 4/m m m'
_symmetry_Int_Tables_number 123
_symmetry_space_group_name_Hall '-P 4 2'
loop_
_atom_site_label
_atom_site_fract_x
_atom_site_fract_y
_atom_site_fract_z
Bi1 0.0000 0.0000 0.0000
As1 0.0000 0.0000 0.5000
Se1 0.0000 0.5000 0.0000
Cl1 0.5000 0.5000 0.5000
```

---

6.
This record from Alexandria via LeMat-Bulk describes a relaxed Ca3Al2Ge3O12 crystal. The functional is PBEsol.

Properties
energy relative to the elements, uncorrected = -2.60 eV per atom

The structure in CIF format:
```
data_Ca3Al2Ge3O12
_cell_length_a 12.1110
_cell_length_b 12.1110
_cell_length_c 12.1110
_cell_angle_alpha 90.00
_cell_angle_beta 90.00
_cell_angle_gamma 90.00
_symmetry_space_group_name_H-M 'I a -3 d'
_symmetry_Int_Tables_number 230
_symmetry_space_group_name_Hall '-I 4bd 2c 3'
loop_
_atom_site_label
_atom_site_fract_x
_atom_site_fract_y
_atom_site_fract_z
Ca1 0.0000 0.2500 0.1250
Al1 0.0000 0.0000 0.0000
Ge1 0.0000 0.2500 0.3750
O1 0.0326 0.0485 0.6476
```

---

7.
This record from Alexandria via LeMat-Bulk describes a relaxed MgAuS2 crystal. The functional is PBEsol.

Properties
energy relative to the elements, uncorrected = -0.05 eV per atom

The structure in CIF format:
```
data_MgAuS2
_cell_length_a 3.8286
_cell_length_b 3.8286
_cell_length_c 21.6832
_cell_angle_alpha 90.00
_cell_angle_beta 90.00
_cell_angle_gamma 120.00
_symmetry_space_group_name_H-M 'R -3 m'
_symmetry_Int_Tables_number 166
_symmetry_space_group_name_Hall '-R 3 2"'
loop_
_atom_site_label
_atom_site_fract_x
_atom_site_fract_y
_atom_site_fract_z
Mg1 0.0000 0.0000 0.0000
Au1 0.0000 0.0000 0.5000
S1 0.0000 0.0000 0.1086
```

---

8.
This record from Alexandria via LeMat-Bulk describes a relaxed FeCuPt2 crystal. The functional is PBEsol.

Properties
calculated formation energy = -0.110 eV per atom

The structure in CIF format:
```
data_FeCuPt2
_cell_length_a 8.9092
_cell_length_b 2.7070
_cell_length_c 4.5296
_cell_angle_alpha 90.00
_cell_angle_beta 101.19
_cell_angle_gamma 90.00
_symmetry_space_group_name_H-M 'C 1 m 1'
_symmetry_Int_Tables_number 8
loop_
_symmetry_equiv_pos_as_xyz
'x,y,z'
'x,-y,z'
'x+1/2,y+1/2,z'
'x+1/2,-y+1/2,z'
loop_
_atom_site_label
_atom_site_fract_x
_atom_site_fract_y
_atom_site_fract_z
Fe1 0.0000 0.0000 0.0000
Cu1 0.2524 0.0000 0.7259
Pt1 0.0017 0.5000 0.5093
Pt2 0.2471 0.5000 0.2120
```

---

9.
This record from Alexandria via LeMat-Bulk describes a relaxed BaCa2MgSi2O8 crystal. The functional is PBEsol.

Properties
energy relative to the elements, uncorrected = -3.01 eV per atom

The structure in CIF format:
```
data_BaCa2MgSi2O8
_cell_length_a 5.4327
_cell_length_b 5.4327
_cell_length_c 6.7637
_cell_angle_alpha 90.00
_cell_angle_beta 90.00
_cell_angle_gamma 120.00
_symmetry_space_group_name_H-M 'P -3 m 1'
_symmetry_Int_Tables_number 164
_symmetry_space_group_name_Hall '-P 3 2"'
loop_
_atom_site_label
_atom_site_fract_x
_atom_site_fract_y
_atom_site_fract_z
Ba1 0.0000 0.0000 0.0000
Ca1 0.3333 0.6667 0.6532
Mg1 0.0000 0.0000 0.5000
Si1 0.3333 0.6667 0.2208
O1 0.1748 0.3496 0.3231
O2 0.3333 0.6667 0.9817
```

---

10.
This record from Alexandria via LeMat-Bulk describes a relaxed YHg2Sb crystal. The functional is PBEsol.

Properties
energy relative to the elements, uncorrected = -0.36 eV per atom

The structure in CIF format:
```
data_YHg2Sb
_cell_length_a 3.9460
_cell_length_b 3.9460
_cell_length_c 6.1969
_cell_angle_alpha 90.00
_cell_angle_beta 90.00
_cell_angle_gamma 90.00
_symmetry_space_group_name_H-M 'P 4/m m m'
_symmetry_Int_Tables_number 123
_symmetry_space_group_name_Hall '-P 4 2'
loop_
_atom_site_label
_atom_site_fract_x
_atom_site_fract_y
_atom_site_fract_z
Y1 0.0000 0.0000 0.0000
Hg1 0.5000 0.5000 0.2526
Sb1 0.0000 0.0000 0.5000
```

---

11.
This record from Alexandria via LeMat-Bulk describes a relaxed Li2AlSiBr crystal. The functional is PBEsol.

Properties
energy relative to the elements, uncorrected = 0.16 eV per atom

The structure in CIF format:
```
data_Li2AlSiBr
_cell_length_a 4.4870
_cell_length_b 4.4870
_cell_length_c 5.3570
_cell_angle_alpha 90.00
_cell_angle_beta 90.00
_cell_angle_gamma 90.00
_symmetry_space_group_name_H-M 'P 4/m m m'
_symmetry_Int_Tables_number 123
_symmetry_space_group_name_Hall '-P 4 2'
loop_
_atom_site_label
_atom_site_fract_x
_atom_site_fract_y
_atom_site_fract_z
Li1 0.0000 0.5000 0.0000
Al1 0.0000 0.0000 0.5000
Si1 0.5000 0.5000 0.5000
Br1 0.5000 0.5000 0.0000
```

---

12.
This record from Alexandria via LeMat-Bulk describes a relaxed Y2HfSi2 crystal. The functional is PBEsol.

Properties
energy relative to the elements, uncorrected = -0.74 eV per atom

The structure in CIF format:
```
data_Y2HfSi2
_cell_length_a 7.1603
_cell_length_b 7.1603
_cell_length_c 4.1089
_cell_angle_alpha 90.00
_cell_angle_beta 90.00
_cell_angle_gamma 90.00
_symmetry_space_group_name_H-M 'P 4/m b m'
_symmetry_Int_Tables_number 127
_symmetry_space_group_name_Hall '-P 4 2ab'
loop_
_atom_site_label
_atom_site_fract_x
_atom_site_fract_y
_atom_site_fract_z
Y1 0.1751 0.3249 0.0000
Hf1 0.0000 0.0000 0.5000
Si1 0.1250 0.6250 0.5000
```

---

13.
This record from Alexandria via LeMat-Bulk describes a relaxed Si3Br crystal. The functional is PBEsol.

Properties
energy relative to the elements, uncorrected = 0.83 eV per atom

The structure in CIF format:
```
data_Si3Br
_cell_length_a 4.1430
_cell_length_b 4.1430
_cell_length_c 4.1430
_cell_angle_alpha 90.00
_cell_angle_beta 90.00
_cell_angle_gamma 90.00
_symmetry_space_group_name_H-M 'P m -3 m'
_symmetry_Int_Tables_number 221
_symmetry_space_group_name_Hall '-P 4 2 3'
loop_
_atom_site_label
_atom_site_fract_x
_atom_site_fract_y
_atom_site_fract_z
Si1 0.0000 0.0000 0.5000
Br1 0.5000 0.5000 0.5000
```

---

14.
This record from Alexandria via LeMat-Bulk describes a relaxed Y2AgRh2 crystal. The functional is PBEsol.

Properties
excess energy over the best structure of this formula in the dataset = 0.350 eV/atom
calculated formation energy = -0.257 eV per atom

The structure in CIF format:
```
data_Y2AgRh2
_cell_length_a 3.7329
_cell_length_b 3.7329
_cell_length_c 15.3316
_cell_angle_alpha 90.00
_cell_angle_beta 90.00
_cell_angle_gamma 90.00
_symmetry_space_group_name_H-M 'I 4/m m m'
_symmetry_Int_Tables_number 139
_symmetry_space_group_name_Hall '-I 4 2'
loop_
_atom_site_label
_atom_site_fract_x
_atom_site_fract_y
_atom_site_fract_z
Y1 0.0000 0.0000 0.1158
Ag1 0.0000 0.0000 0.5000
Rh1 0.0000 0.5000 0.2500
```

---

15.
This record from Alexandria via LeMat-Bulk describes a relaxed ZrAsRu crystal. The functional is PBEsol.

Properties
calculated formation energy = -0.492 eV per atom

The structure in CIF format:
```
data_ZrAsRu
_cell_length_a 3.0412
_cell_length_b 3.0412
_cell_length_c 10.4939
_cell_angle_alpha 90.00
_cell_angle_beta 90.00
_cell_angle_gamma 90.00
_symmetry_space_group_name_H-M 'I 4 m m'
_symmetry_Int_Tables_number 107
_symmetry_space_group_name_Hall 'I 4 -2'
loop_
_atom_site_label
_atom_site_fract_x
_atom_site_fract_y
_atom_site_fract_z
Zr1 0.0000 0.0000 0.0000
As1 0.0000 0.0000 0.6873
Ru1 0.0000 0.0000 0.3100
```

---

16.
This record from Alexandria via LeMat-Bulk describes a relaxed SrLiTa2O6F crystal. The functional is PBEsol.

Properties
energy relative to the elements, uncorrected = -3.00 eV per atom

The structure in CIF format:
```
data_SrLiTa2O6F
_cell_length_a 7.3392
_cell_length_b 7.4492
_cell_length_c 10.4234
_cell_angle_alpha 90.00
_cell_angle_beta 90.00
_cell_angle_gamma 90.00
_symmetry_space_group_name_H-M 'I m m a'
_symmetry_Int_Tables_number 74
_symmetry_space_group_name_Hall '-I 2b 2'
loop_
_atom_site_label
_atom_site_fract_x
_atom_site_fract_y
_atom_site_fract_z
Sr1 0.0000 0.0000 0.0000
Li1 0.2500 0.2500 0.2500
Ta1 0.0000 0.0000 0.5000
Ta2 0.2500 0.2500 0.7500
O1 0.0000 0.2500 0.4380
O2 0.0000 0.2500 0.8219
O3 0.1947 0.0600 0.6243
F1 0.0000 0.2500 0.1492
```

---

17.
This record from Alexandria via LeMat-Bulk describes a relaxed HgRuSe2 crystal. The functional is PBEsol.

Properties
energy relative to the elements, uncorrected = 0.09 eV per atom

The structure in CIF format:
```
data_HgRuSe2
_cell_length_a 3.1214
_cell_length_b 3.1214
_cell_length_c 27.8585
_cell_angle_alpha 90.00
_cell_angle_beta 90.00
_cell_angle_gamma 120.00
_symmetry_space_group_name_H-M 'R 3 m'
_symmetry_Int_Tables_number 160
_symmetry_space_group_name_Hall 'R 3 -2"'
loop_
_atom_site_label
_atom_site_fract_x
_atom_site_fract_y
_atom_site_fract_z
Hg1 0.0000 0.0000 0.0000
Ru1 0.0000 0.0000 0.7466
Se1 0.0000 0.0000 0.2438
Se2 0.0000 0.0000 0.4685
```

---

18.
This record from Alexandria via LeMat-Bulk describes a relaxed Cs2CdAu2 crystal. The functional is PBEsol.

Properties
excess energy over the best structure of this formula in the dataset = 0.012 eV/atom
calculated formation energy = -0.095 eV per atom

The structure in CIF format:
```
data_Cs2CdAu2
_cell_length_a 6.8228
_cell_length_b 6.8228
_cell_length_c 8.0495
_cell_angle_alpha 90.00
_cell_angle_beta 90.00
_cell_angle_gamma 90.00
_symmetry_space_group_name_H-M 'I 4/m m m'
_symmetry_Int_Tables_number 139
_symmetry_space_group_name_Hall '-I 4 2'
loop_
_atom_site_label
_atom_site_fract_x
_atom_site_fract_y
_atom_site_fract_z
Cs1 0.0000 0.5000 0.2500
Cd1 0.0000 0.0000 0.0000
Au1 0.0000 0.0000 0.3353
```

---

19.
This record from Alexandria via LeMat-Bulk describes a relaxed KLiFe2 crystal. The functional is PBEsol.

Properties
excess energy over the best structure of this formula in the dataset = 0.356 eV/atom
calculated formation energy = 1.169 eV per atom

The structure in CIF format:
```
data_KLiFe2
_cell_length_a 6.5206
_cell_length_b 6.5206
_cell_length_c 6.5206
_cell_angle_alpha 90.00
_cell_angle_beta 90.00
_cell_angle_gamma 90.00
_symmetry_space_group_name_H-M 'F -4 3 m'
_symmetry_Int_Tables_number 216
_symmetry_space_group_name_Hall 'F -4 2 3'
loop_
_atom_site_label
_atom_site_fract_x
_atom_site_fract_y
_atom_site_fract_z
K1 0.0000 0.0000 0.0000
Li1 0.2500 0.2500 0.7500
Fe1 0.0000 0.0000 0.5000
Fe2 0.2500 0.2500 0.2500
```

---

20.
This record from Alexandria via LeMat-Bulk describes a relaxed CaTl2Ag crystal. The functional is PBEsol.

Properties
calculated formation energy = -0.177 eV per atom

The structure in CIF format:
```
data_CaTl2Ag
_cell_length_a 3.5486
_cell_length_b 4.7411
_cell_length_c 6.0275
_cell_angle_alpha 90.00
_cell_angle_beta 100.95
_cell_angle_gamma 90.00
_symmetry_space_group_name_H-M 'P 1 2/m 1'
_symmetry_Int_Tables_number 10
loop_
_symmetry_equiv_pos_as_xyz
'x,y,z'
'-x,-y,-z'
'-x,y,-z'
'x,-y,z'
loop_
_atom_site_label
_atom_site_fract_x
_atom_site_fract_y
_atom_site_fract_z
Ca1 0.0000 0.0000 0.0000
Tl1 0.3475 0.5000 0.7316
Ag1 0.5000 0.0000 0.5000
```